## KLaP (PBE)

Data for a relaxed structure of KLaP.

The structure in CIF format:
```
data_KLaP
_chemical_formula_sum 'K4 La4 P4'
_cell_length_a 7.1924
_cell_length_b 7.1924
_cell_length_c 7.1924
_cell_angle_alpha 90.00
_cell_angle_beta 90.00
_cell_angle_gamma 90.00
_space_group_name_H-M_alt 'F -4 3 m'
_space_group_IT_number 216
_space_group_name_Hall 'F -4 2 3'
loop_
_atom_site_label
_atom_site_fract_x
_atom_site_fract_y
_atom_site_fract_z
K1 0.0000 0.0000 0.0000
La1 0.0000 0.0000 0.5000
P1 0.2500 0.2500 0.7500
```

---

## Na2ReGe (PBE)

Data for a relaxed structure of Na2ReGe.

The structure in CIF format:
```
data_Na2ReGe
_chemical_formula_sum 'Na8 Re4 Ge4'
_cell_length_a 8.2349
_cell_length_b 8.2349
_cell_length_c 4.9994
_cell_angle_alpha 90.00
_cell_angle_beta 90.00
_cell_angle_gamma 90.00
_space_group_name_H-M_alt 'I -4 2 d'
_space_group_IT_number 122
_space_group_name_Hall 'I -4 2bw'
loop_
_atom_site_label
_atom_site_fract_x
_atom_site_fract_y
_atom_site_fract_z
Na1 0.2318 0.2500 0.1250
Re1 0.0000 0.0000 0.5000
Ge1 0.0000 0.0000 0.0000
```

---

Number 1: spin magnetization 0.00 μB/cell, calculated total energy -4.335 eV/atom. Number 2: spin magnetization 4.54 μB/cell, calculated total energy -3.933 eV/atom.